La8HgTe4As3 (PBE, relaxed); formation energy from raw total energies = -1.470 eV per atom; density of states at the Fermi level = 0.5691 states/eV per atom; DFT total energy = -5.6097 eV per atom; space group = R-3m (166)
1.0
-5.626 6.808 -1.552
-6.587 -4.466 4.288
7.803 1.492 4.160
As La Hg Te
3 8 1 4
Direct
0.500 0.500 0.000
0.500 0.500 0.500
0.000 0.500 0.500
0.752 0.268 0.016
0.752 0.268 0.504
0.264 0.268 0.016
0.248 0.732 0.496
0.248 0.732 0.984
0.741 0.723 0.482
0.259 0.277 0.518
0.736 0.732 0.984
0.000 0.500 0.000
0.500 0.000 0.500
0.000 0.000 0.500
0.000 0.000 0.000
0.500 0.000 0.000

---

LaTlHg2As (PBE, relaxed); density of states at the Fermi level = 0.6739 states/eV per atom; DFT total energy = -2.6216 eV per atom; space group = P4/mmm (123)
1.0
-2.192 -0.965 -4.750
4.310 -3.599 -1.257
-2.760 -4.037 2.094
Tl As Hg La
1 1 2 1
Direct
0.500 0.500 0.500
0.000 0.000 0.000
0.500 0.000 0.000
0.000 0.000 0.500
0.000 0.500 0.000

---

LaZnHg2As (PBE, relaxed); density of states at the Fermi level = 0.6237 states/eV per atom; DFT total energy = -2.0044 eV per atom; space group = P4/mmm (123)
1.0
6.585 0.000 0.000
0.000 5.508 0.000
0.000 0.000 6.585
Zn Hg La As
1 2 1 1
Direct
0.500 0.500 0.500
0.000 0.000 0.500
0.500 0.000 0.000
0.000 0.000 0.000
0.000 0.500 0.000

---

Which value of DFT total energy does entry 3 give?
-2.0044 eV per atom

---

Copy entry 1 word for word.
La8HgTe4As3 (PBE, relaxed); formation energy from raw total energies = -1.470 eV per atom; density of states at the Fermi level = 0.5691 states/eV per atom; DFT total energy = -5.6097 eV per atom; space group = R-3m (166)
1.0
-5.626 6.808 -1.552
-6.587 -4.466 4.288
7.803 1.492 4.160
As La Hg Te
3 8 1 4
Direct
0.500 0.500 0.000
0.500 0.500 0.500
0.000 0.500 0.500
0.752 0.268 0.016
0.752 0.268 0.504
0.264 0.268 0.016
0.248 0.732 0.496
0.248 0.732 0.984
0.741 0.723 0.482
0.259 0.277 0.518
0.736 0.732 0.984
0.000 0.500 0.000
0.500 0.000 0.500
0.000 0.000 0.500
0.000 0.000 0.000
0.500 0.000 0.000

---

Which of these has the highest density of states at the Fermi level?
LaTlHg2As